The following is a DFT calculation (PBEsol) of crystalline RbIn2GaSn at its relaxed geometry.

Cell lengths 5.2953, 5.2953, 5.8179 Å; angles 90.00, 90.00, 90.00 degrees
Fractional positions:
Rb  0.0000  0.0000  0.5000
In  0.0000  0.5000  0.0000
In  0.5000  0.0000  0.0000
Sn  0.5000  0.5000  0.5000
Ga  0.0000  0.0000  0.0000

Properties
Fermi-level density of states = 3.72 states/eV/cell
space group = P4/mmm, No. 123
ΔH_f (0 K) = 1.90 eV per formula unit